No. 1
Here is crystalline ZnNiOsPt at its relaxed geometry from OQMD via LeMat-Bulk. Energies are from PBE-GGA.

Lattice parameters (Å, degrees): 6.0798 6.0798 6.0798 90.00 90.00 90.00
With the nearest neighbours (Å) after each atom.
Space group F-43m (No. 216)
One atom of each set of equivalent atoms:
1 Zn 0.0000 0.0000 0.0000  4 Pt 2.63, 4 Ni 2.63
2 Ni 0.2500 0.2500 0.2500  4 Os 2.63, 4 Zn 2.63
3 Os 0.0000 0.0000 0.5000  4 Ni 2.63, 4 Pt 2.63
4 Pt 0.2500 0.2500 0.7500  4 Os 2.63, 4 Zn 2.63

Summary:
V: 224.7 Å³ per cell
total DFT energy (no corrections): -5.79 eV/atom
formation energy: 0.236 eV per atom

No. 2
Here is crystalline RbNiOs at its relaxed geometry from OQMD via LeMat-Bulk. Energies are from PBE-GGA.

Lattice parameters (Å, degrees): 6.5056 6.5056 6.5056 90.00 90.00 90.00
With the nearest neighbours (Å) after each atom.
Space group F-43m (No. 216)
One atom of each set of equivalent atoms:
1 Rb 0.0000 0.0000 0.0000  4 Ni 2.82
2 Ni 0.2500 0.2500 0.7500  4 Os 2.82, 4 Rb 2.82
3 Os 0.0000 0.0000 0.5000  4 Ni 2.82

Summary:
V: 275.3 Å³ per cell
total DFT energy (no corrections): -3.87 eV/atom
energy above the most stable polymorph in this dataset: 0.000 eV/atom

No. 3
Here is crystalline RbNiOs at its relaxed geometry from OQMD via LeMat-Bulk. Energies are from PBE-GGA.

Lattice parameters (Å, degrees): 6.6777 6.6777 6.6777 90.00 90.00 90.00
With the nearest neighbours (Å) after each atom.
Space group F-43m (No. 216)
One atom of each set of equivalent atoms:
1 Rb 0.0000 0.0000 0.0000  4 Ni 2.89, 4 Os 2.89
2 Ni 0.2500 0.2500 0.7500  4 Rb 2.89
3 Os 0.2500 0.2500 0.2500  4 Rb 2.89

Summary:
V: 297.8 Å³ per cell
total DFT energy (no corrections): -2.99 eV/atom
energy above the most stable polymorph in this dataset: 0.880 eV/atom

No. 4
Here is crystalline Re6NiOs at its relaxed geometry from OQMD via LeMat-Bulk. Energies are from PBE-GGA.

Lattice parameters (Å, degrees): 5.4953 5.4953 4.3716 90.00 90.00 120.00
With the nearest neighbours (Å) after each atom.
Space group P-6m2 (No. 187)
One atom of each set of equivalent atoms:
1 Re 0.1678 0.3356 0.0000  8 Re 2.69-2.77, 2 Ni 2.69, 2 Os 2.75
2 Re 0.3233 0.1616 0.5000  8 Re 2.66-2.83, 2 Os 2.73, 2 Ni 2.75
3 Ni 0.3333 0.6667 0.5000  12 Re 2.69-2.75
4 Os 0.6667 0.3333 0.0000  12 Re 2.73-2.75

Summary:
V: 114.3 Å³ per cell
total DFT energy (no corrections): -11.48 eV/atom
formation energy: -0.063 eV per atom

No. 5
Here is crystalline Sr2NiOsS6 at its relaxed geometry from OQMD via LeMat-Bulk. Energies are from PBE-GGA.

Lattice parameters (Å, degrees): 6.1942 6.2898 6.4332 66.63 63.92 65.30
With the nearest neighbours (Å) after each atom.
Space group P-1 (No. 2)
One atom of each set of equivalent atoms:
1 Sr 0.2504 0.2453 0.2347  7 S 2.88-3.16
2 Ni 0.0000 0.0000 0.0000  6 S 2.33-2.43
3 Os 0.5000 0.5000 0.5000  6 S 2.37-2.41
4 S 0.1732 0.7481 0.3221  1 Os 2.41, 1 Ni 2.43
5 S 0.2511 0.6704 0.8364  1 Ni 2.33, 1 Os 2.39
6 S 0.3167 0.1779 0.7118  1 Ni 2.35, 1 Os 2.37

Summary:
V: 197.4 Å³ per cell
total DFT energy (no corrections): -5.22 eV/atom

No. 6
Here is crystalline TaNiSbOs at its relaxed geometry from OQMD via LeMat-Bulk. Energies are from PBE-GGA.

Lattice parameters (Å, degrees): 6.3691 6.3691 6.3691 90.00 90.00 90.00
With the nearest neighbours (Å) after each atom.
Space group F-43m (No. 216)
One atom of each set of equivalent atoms:
1 Ta 0.0000 0.0000 0.0000  4 Sb 2.76, 4 Os 2.76
2 Ni 0.0000 0.0000 0.5000  4 Sb 2.76, 4 Os 2.76
3 Sb 0.2500 0.2500 0.2500  4 Ta 2.76, 4 Ni 2.76
4 Os 0.2500 0.2500 0.7500  4 Ta 2.76, 4 Ni 2.76

Summary:
V: 258.4 Å³ per cell
total DFT energy (no corrections): -7.90 eV/atom

No. 7
Here is crystalline TcNiSbOs at its relaxed geometry from OQMD via LeMat-Bulk. Energies are from PBE-GGA.

Lattice parameters (Å, degrees): 6.2308 6.2308 6.2308 90.00 90.00 90.00
With the nearest neighbours (Å) after each atom.
Space group F-43m (No. 216)
One atom of each set of equivalent atoms:
1 Tc 0.0000 0.0000 0.0000  4 Sb 2.70, 4 Os 2.70
2 Ni 0.0000 0.0000 0.5000  4 Sb 2.70, 4 Os 2.70
3 Sb 0.2500 0.2500 0.2500  4 Tc 2.70, 4 Ni 2.70
4 Os 0.2500 0.2500 0.7500  4 Tc 2.70, 4 Ni 2.70

Summary:
V: 241.9 Å³ per cell
total DFT energy (no corrections): -7.41 eV/atom

No. 8
Here is crystalline Sc2NiOs at its relaxed geometry from OQMD via LeMat-Bulk. Energies are from PBE-GGA.

Lattice parameters (Å, degrees): 6.3418 6.4890 6.3184 90.00 90.00 90.00
With the nearest neighbours (Å) after each atom.
Space group Pnma (No. 62)
One atom of each set of equivalent atoms:
1 Sc 0.2494 0.9997 0.2495  4 Ni 2.76-2.77, 4 Os 2.76
2 Ni 0.0000 0.2500 0.0006  8 Sc 2.76-2.77
3 Os 0.0000 0.2500 0.4997  8 Sc 2.76

Summary:
V: 260.0 Å³ per cell
total DFT energy (no corrections): -7.85 eV/atom
formation energy: -0.483 eV per atom
energy above the most stable polymorph in this dataset: 0.021 eV/atom

No. 9
Here is crystalline Sc8Ni2Os at its relaxed geometry from OQMD via LeMat-Bulk. Energies are from PBE-GGA.

Lattice parameters (Å, degrees): 15.6900 4.6751 6.2747 90.00 108.79 90.00
With the nearest neighbours (Å) after each atom.
Space group C2/m (No. 12)
One atom of each set of equivalent atoms:
1 Sc 0.0325 0.0000 0.2938  1 Ni 2.63, 2 Os 2.80
2 Sc 0.0965 0.5000 0.9506  1 Os 2.74, 2 Ni 2.88
3 Sc 0.1706 0.5000 0.4714  1 Ni 2.56, 1 Os 2.74
4 Sc 0.1950 0.0000 0.8067  1 Ni 2.50
5 Ni 0.1833 0.0000 0.1942  3 Sc 2.50-2.63
6 Os 0.0000 0.5000 0.5000  8 Sc 2.74-2.80

Summary:
V: 435.7 Å³ per cell
total DFT energy (no corrections): -6.97 eV/atom
formation energy: -0.336 eV per atom

No. 10
Here is crystalline Sc2NiOs at its relaxed geometry from OQMD via LeMat-Bulk. Energies are from PBE-GGA.

Lattice parameters (Å, degrees): 3.2313 3.2313 6.2838 90.00 90.00 90.00
With the nearest neighbours (Å) after each atom.
Space group P4/mmm (No. 123)
One atom of each set of equivalent atoms:
1 Sc 0.0000 0.0000 0.2477  4 Os 2.76, 4 Ni 2.78
2 Ni 0.5000 0.5000 0.5000  8 Sc 2.78
3 Os 0.5000 0.5000 0.0000  8 Sc 2.76

Summary:
V: 65.6 Å³ per cell
total DFT energy (no corrections): -7.86 eV/atom
formation energy: -0.502 eV per atom
energy above the most stable polymorph in this dataset: 0.002 eV/atom

No. 11
Here is crystalline Sc2NiOs at its relaxed geometry from OQMD via LeMat-Bulk. Energies are from PBE-GGA.

Lattice parameters (Å, degrees): 4.5137 4.5137 6.3734 90.00 90.00 90.00
With the nearest neighbours (Å) after each atom.
Space group I4/mmm (No. 139)
One atom of each set of equivalent atoms:
1 Sc 0.0000 0.5000 0.2500  4 Os 2.76, 4 Ni 2.76
2 Ni 0.0000 0.0000 0.0000  8 Sc 2.76
3 Os 0.0000 0.0000 0.5000  8 Sc 2.76

Summary:
V: 129.9 Å³ per cell
total DFT energy (no corrections): -7.87 eV/atom
formation energy: -0.504 eV per atom
energy above the most stable polymorph in this dataset: 0.000 eV/atom

No. 12
Here is crystalline Sc2NiOs at its relaxed geometry from OQMD via LeMat-Bulk. Energies are from PBE-GGA.

Lattice parameters (Å, degrees): 4.5175 4.5175 6.3648 90.00 90.00 90.00
With the nearest neighbours (Å) after each atom.
Space group I4/mmm (No. 139)
One atom of each set of equivalent atoms:
1 Sc 0.0000 0.5000 0.2500  4 Os 2.76, 4 Ni 2.76
2 Ni 0.0000 0.0000 0.0000  8 Sc 2.76
3 Os 0.0000 0.0000 0.5000  8 Sc 2.76

Summary:
V: 129.9 Å³ per cell
total DFT energy (no corrections): -7.87 eV/atom
formation energy: -0.504 eV per atom
energy above the most stable polymorph in this dataset: 0.000 eV/atom

Copy entry 8 word for word.
Here is crystalline Sc2NiOs at its relaxed geometry from OQMD via LeMat-Bulk. Energies are from PBE-GGA.

Lattice parameters (Å, degrees): 6.3418 6.4890 6.3184 90.00 90.00 90.00
With the nearest neighbours (Å) after each atom.
Space group Pnma (No. 62)
One atom of each set of equivalent atoms:
1 Sc 0.2494 0.9997 0.2495  4 Ni 2.76-2.77, 4 Os 2.76
2 Ni 0.0000 0.2500 0.0006  8 Sc 2.76-2.77
3 Os 0.0000 0.2500 0.4997  8 Sc 2.76

Summary:
V: 260.0 Å³ per cell
total DFT energy (no corrections): -7.85 eV/atom
formation energy: -0.483 eV per atom
energy above the most stable polymorph in this dataset: 0.021 eV/atom